A plane-wave DFT calculation with PBEsol was carried out for crystalline Ta3SiNi2 at its relaxed geometry.

SG: No. 227
total DFT energy (no corrections): -9.7368 eV/atom
size of the total moment: 0.0 μB per formula unit
raw formation energy: -0.45 eV per atom

Cell lengths 7.823, 7.823, 7.823 Å; angles 60.00, 60.00, 60.00 degrees
Fractional coordinates of all 24 atoms:
Ni (0.333, 0.333, 0.002)
Ni (0.002, 0.333, 0.333)
Ni (0.333, 0.002, 0.333)
Ni (0.333, 0.333, 0.333)
Ni (0.248, 0.917, 0.917)
Ni (0.917, 0.917, 0.248)
Ni (0.917, 0.248, 0.917)
Ni (0.917, 0.917, 0.917)
Si (0.125, 0.125, 0.625)
Si (0.625, 0.125, 0.125)
Si (0.125, 0.625, 0.125)
Si (0.125, 0.125, 0.125)
Ta (0.701, 0.701, 0.299)
Ta (0.299, 0.299, 0.701)
Ta (0.701, 0.299, 0.299)
Ta (0.299, 0.701, 0.701)
Ta (0.299, 0.701, 0.299)
Ta (0.701, 0.299, 0.701)
Ta (0.951, 0.549, 0.549)
Ta (0.549, 0.951, 0.951)
Ta (0.951, 0.951, 0.549)
Ta (0.549, 0.549, 0.951)
Ta (0.951, 0.549, 0.951)
Ta (0.549, 0.951, 0.549)